Record 1
VASP calculation (PBE) on a relaxed Na5Au3 crystal.

As for the mass density: 6.10 g cm⁻³. The density of states at the Fermi level is 2.106 states/eV/f.u. Its formation energy from the elements is -0.283 eV per atom.

The space group is I4/mcm (No. 140) and the conventional cell measures 11.752, 11.752 and 5.564 Å, with angles of 90.00, 90.00 and 90.00 degrees. Symmetry generates all atoms from Na at (0.000, 0.500, 0.250), Na at (0.082, 0.217, 0.000), Au at (0.000, 0.000, 0.250) and Au at (0.161, 0.339, 0.500).

Record 2
VASP calculation (PBE) on a relaxed Na8Au3 crystal.

As for the distance to the lowest polymorph of the same formula: 0 meV/atom. As for the mass density: 4.81 g cm⁻³. The density of states at the Fermi level is 3.283 states/eV/f.u. Its formation energy from the elements is -0.185 eV per atom.

The space group is R-3m (No. 166, hexagonal axes) and the conventional cell measures 5.1542, 5.1542 and 34.8443 Å, with angles of 90.00, 90.00 and 120.00 degrees. Symmetry generates all atoms from Na at (0.0000, 0.0000, 0.0913), Na at (0.0000, 0.0000, 0.1830), Na at (0.0000, 0.0000, 0.2752), Na at (0.0000, 0.0000, 0.3656), Au at (0.0000, 0.0000, 0.0000) and Au at (0.0000, 0.0000, 0.4577).

Record 3
VASP calculation (PBE) on a relaxed Na2Au crystal.

As for the mass density: 5.94 g cm⁻³. The density of states at the Fermi level is 0.382 states/eV/f.u. Its formation energy from the elements is 0.065 eV per atom.

The space group is Fd-3m (No. 227, origin choice 2) and the conventional cell measures 8.160, 8.160 and 8.160 Å, with angles of 90.00, 90.00 and 90.00 degrees. Symmetry generates all atoms from Na at (0.000, 0.000, 0.000) and Au at (0.125, 0.125, 0.625).

Record 4
VASP calculation (PBE) on a relaxed NaAu6 crystal.

As for the distance to the lowest polymorph of the same formula: 407 meV/atom. As for the mass density: 9.40 g cm⁻³. The density of states at the Fermi level is 0.975 states/eV/f.u. Its formation energy from the elements is 0.311 eV per atom.

The space group is Im-3m (No. 229) and the conventional cell measures 7.523, 7.523 and 7.523 Å, with angles of 90.00, 90.00 and 90.00 degrees. Symmetry generates all atoms from Na at (0.000, 0.000, 0.000) and Au at (0.000, 0.250, 0.500).

Record 5
VASP calculation (PBE) on a relaxed NaAu2 crystal.

As for the distance to the lowest polymorph of the same formula: 0 meV/atom. As for the mass density: 11.06 g cm⁻³. The density of states at the Fermi level is 0.838 states/eV/f.u. Its formation energy from the elements is -0.370 eV per atom.

The space group is Fd-3m (No. 227, origin choice 2) and the conventional cell measures 7.942, 7.942 and 7.942 Å, with angles of 90.00, 90.00 and 90.00 degrees. Symmetry generates all atoms from Na at (0.125, 0.125, 0.125) and Au at (0.000, 0.000, 0.500).

Record 6
VASP calculation (PBE) on a relaxed Na2Au7 crystal.

As for the mass density: 12.49 g cm⁻³. The density of states at the Fermi level is 1.587 states/eV/f.u. Its formation energy from the elements is -0.254 eV per atom.

The space group is R-3m (No. 166, hexagonal axes) and the conventional cell measures 5.6003, 5.6003 and 41.8330 Å, with angles of 90.00, 90.00 and 120.00 degrees. Symmetry generates all atoms from Na at (0.0000, 0.0000, 0.0536), Na at (0.0000, 0.0000, 0.1511), Au at (0.0000, 0.0000, 0.2773), Au at (0.0000, 0.0000, 0.3891), Au at (0.0000, 0.0000, 0.5000), Au at (0.0000, 0.5000, 0.0000) and Au at (0.0032, 0.5016, 0.8879).

Record 7
VASP calculation (PBE) on a relaxed NaAu6 crystal.

As for the distance to the lowest polymorph of the same formula: 0 meV/atom. As for the mass density: 14.04 g cm⁻³. The density of states at the Fermi level is 1.972 states/eV/f.u. Its formation energy from the elements is -0.095 eV per atom.

The space group is Pnma (No. 62) and the conventional cell measures 9.183, 5.618 and 11.047 Å, with angles of 90.00, 90.00 and 90.00 degrees. Symmetry generates all atoms from Na at (0.237, 0.250, 0.065), Au at (0.056, 0.006, 0.309), Au at (0.066, 0.750, 0.082), Au at (0.126, 0.250, 0.523), Au at (0.155, 0.750, 0.843) and Au at (0.188, 0.250, 0.776).

Record 8
VASP calculation (PBE) on a relaxed Na2Au crystal.

As for the mass density: 5.19 g cm⁻³. The density of states at the Fermi level is 1.198 states/eV/f.u. Its formation energy from the elements is -0.239 eV per atom.

The space group is Pnma (No. 62) and the conventional cell measures 7.711, 4.257 and 9.467 Å, with angles of 90.00, 90.00 and 90.00 degrees. Symmetry generates all atoms from Na at (0.035, 0.250, 0.169), Na at (0.144, 0.250, 0.565) and Au at (0.245, 0.750, 0.363).

Record 9
VASP calculation (PBE) on a relaxed NaAu2 crystal.

As for the distance to the lowest polymorph of the same formula: 217 meV/atom. As for the mass density: 11.59 g cm⁻³. The density of states at the Fermi level is 0.811 states/eV/f.u. Its formation energy from the elements is -0.152 eV per atom.

The space group is I4/mmm (No. 139) and the conventional cell measures 3.653, 3.653 and 8.956 Å, with angles of 90.00, 90.00 and 90.00 degrees. Symmetry generates all atoms from Na at (0.000, 0.000, 0.000) and Au at (0.000, 0.000, 0.329).

Record 10
VASP calculation (PBE) on a relaxed Na7Au crystal.

As for the mass density: 2.45 g cm⁻³. The density of states at the Fermi level is 2.740 states/eV/f.u. Its formation energy from the elements is -0.066 eV per atom.

The space group is R-3m (No. 166, hexagonal axes) and the conventional cell measures 5.5218, 5.5218 and 27.6015 Å, with angles of 90.00, 90.00 and 120.00 degrees. Symmetry generates all atoms from Na at (0.0000, 0.0000, 0.0000), Na at (0.0000, 0.0000, 0.1346), Na at (0.0000, 0.0000, 0.2505), Na at (0.0000, 0.0000, 0.3890) and Au at (0.0000, 0.0000, 0.5000).

Record 11
VASP calculation (PBE) on a relaxed Na8Au3 crystal.

As for the distance to the lowest polymorph of the same formula: 62 meV/atom. As for the mass density: 3.72 g cm⁻³. The density of states at the Fermi level is 5.685 states/eV/f.u. Its formation energy from the elements is -0.124 eV per atom.

The space group is R-3 (No. 148, hexagonal axes) and the conventional cell measures 9.7380, 9.7380 and 12.6373 Å, with angles of 90.00, 90.00 and 120.00 degrees. Symmetry generates all atoms from Na at (0.0000, 0.0000, 0.1434), Na at (0.0656, 0.5970, 0.2761) and Au at (0.0000, 0.5000, 0.5000).

Record 12
VASP calculation (PBE) on a relaxed Na2Au crystal.

As for the mass density: 5.63 g cm⁻³. The density of states at the Fermi level is 0.857 states/eV/f.u. Its formation energy from the elements is -0.229 eV per atom.

The space group is P-1 (No. 2) and the conventional cell measures 5.466, 5.466 and 5.863 Å, with angles of 73.35, 69.49 and 62.06 degrees. Symmetry generates all atoms from Na at (0.096, 0.355, 0.251), Na at (0.272, 0.936, 0.775) and Au at (0.407, 0.696, 0.293).

Record 13
VASP calculation (PBE) on a relaxed NaNbAu2 crystal.

As for the mass density: 11.05 g cm⁻³. The density of states at the Fermi level is 3.039 states/eV/f.u. Its formation energy from the elements is -0.112 eV per atom.

The space group is P4/mmm (No. 123) and the conventional cell measures 2.978, 2.978 and 8.636 Å, with angles of 90.00, 90.00 and 90.00 degrees. Symmetry generates all atoms from Na at (0.000, 0.000, 0.000), Nb at (0.000, 0.000, 0.500) and Au at (0.500, 0.500, 0.271).

Record 14
VASP calculation (PBE) on a relaxed NaNb3Au crystal.

As for the distance to the lowest polymorph of the same formula: 413 meV/atom. As for the mass density: 8.23 g cm⁻³. The density of states at the Fermi level is 6.405 states/eV/f.u. Its formation energy from the elements is 1.984 eV per atom.

The space group is Pm-3m (No. 221) and the conventional cell measures 4.651, 4.651 and 4.651 Å, with angles of 90.00, 90.00 and 90.00 degrees. Symmetry generates all atoms from Na at (0.000, 0.000, 0.000), Nb at (0.000, 0.000, 0.500) and Au at (0.500, 0.500, 0.500).

Record 15
VASP calculation (PBE) on a relaxed NaNb2Au crystal.

As for the distance to the lowest polymorph of the same formula: 75 meV/atom. As for the mass density: 8.21 g cm⁻³. The density of states at the Fermi level is 2.937 states/eV/f.u. Its formation energy from the elements is 0.759 eV per atom.

The space group is I-42d (No. 122) and the conventional cell measures 7.888, 7.888 and 5.274 Å, with angles of 90.00, 90.00 and 90.00 degrees. Symmetry generates all atoms from Na at (0.000, 0.000, 0.000), Nb at (0.223, 0.250, 0.625) and Au at (0.000, 0.000, 0.500).

Record 16
VASP calculation (PBE) on a relaxed NaNb3Au crystal.

As for the distance to the lowest polymorph of the same formula: 0 meV/atom. As for the mass density: 6.36 g cm⁻³. The density of states at the Fermi level is 11.414 states/eV/f.u. Its formation energy from the elements is 1.572 eV per atom.

The space group is Pm-3m (No. 221) and the conventional cell measures 5.067, 5.067 and 5.067 Å, with angles of 90.00, 90.00 and 90.00 degrees. Symmetry generates all atoms from Na at (0.000, 0.000, 0.000), Nb at (0.000, 0.500, 0.500) and Au at (0.500, 0.500, 0.500).

Record 17
VASP calculation (PBE) on a relaxed NaNbAu2 crystal.

As for the mass density: 9.74 g cm⁻³. The density of states at the Fermi level is 4.130 states/eV/f.u. Its formation energy from the elements is 0.485 eV per atom.

The space group is I-42d (No. 122) and the conventional cell measures 7.582, 7.582 and 6.049 Å, with angles of 90.00, 90.00 and 90.00 degrees. Symmetry generates all atoms from Na at (0.000, 0.000, 0.000), Nb at (0.000, 0.000, 0.500) and Au at (0.231, 0.250, 0.625).

Record 18
VASP calculation (PBE) on a relaxed NaNb2Au crystal.

As for the distance to the lowest polymorph of the same formula: 0 meV/atom. As for the mass density: 9.09 g cm⁻³. The density of states at the Fermi level is 3.582 states/eV/f.u. Its formation energy from the elements is 0.683 eV per atom.

The space group is Fm-3m (No. 225) and the conventional cell measures 6.668, 6.668 and 6.668 Å, with angles of 90.00, 90.00 and 90.00 degrees. Symmetry generates all atoms from Na at (0.000, 0.000, 0.000), Nb at (0.250, 0.250, 0.250) and Au at (0.000, 0.000, 0.500).

Record 19
VASP calculation (PBE) on a relaxed NaNbPd2Au crystal.

As for the mass density: 6.94 g cm⁻³. The density of states at the Fermi level is 4.284 states/eV/f.u. Its formation energy from the elements is 0.557 eV per atom.

The space group is P4/mmm (No. 123) and the conventional cell measures 4.909, 4.909 and 5.221 Å, with angles of 90.00, 90.00 and 90.00 degrees. Symmetry generates all atoms from Na at (0.000, 0.000, 0.000), Nb at (0.500, 0.500, 0.500), Pd at (0.000, 0.500, 0.500) and Au at (0.500, 0.500, 0.000).

Record 20
VASP calculation (PBE) on a relaxed Na2NbPtAu crystal.

As for the mass density: 6.83 g cm⁻³. The density of states at the Fermi level is 7.673 states/eV/f.u. Its formation energy from the elements is 1.179 eV per atom.

The space group is P4/mmm (No. 123) and the conventional cell measures 4.980, 4.980 and 5.208 Å, with angles of 90.00, 90.00 and 90.00 degrees. Symmetry generates all atoms from Na at (0.000, 0.500, 0.000), Nb at (0.000, 0.000, 0.500), Pt at (0.500, 0.500, 0.000) and Au at (0.500, 0.500, 0.500).